A plane-wave DFT calculation with PBE was carried out for a relaxed structure of Pm3As5Rh6.

```
data_Pm3As5Rh6
_chemical_formula_sum 'Pm6 As10 Rh12'
_space_group_name_H-M_alt 'P m m n'
_space_group_IT_number 59
_cell_length_a 4.0426
_cell_length_b 12.7330
_cell_length_c 9.9432
_cell_angle_alpha 90.00
_cell_angle_beta 90.00
_cell_angle_gamma 90.00
loop_
_space_group_symop_operation_xyz
'x,y,z'
'-x,-y,-z'
'-x+1/2,-y+1/2,z'
'x+1/2,y+1/2,-z'
'x+1/2,-y,-z'
'-x+1/2,y,z'
'-x,y+1/2,-z'
'x,-y+1/2,z'
loop_
_atom_site_label
_atom_site_fract_x
_atom_site_fract_y
_atom_site_fract_z
_atom_site_occupancy
Pm1 0.2500 0.0891 0.2466 1
Pm2 0.2500 0.7500 0.2619 1
As1 0.2500 0.0789 0.8455 1
As2 0.2500 0.6305 0.5307 1
As3 0.2500 0.7500 0.8640 1
Rh1 0.2500 0.0549 0.5970 1
Rh2 0.2500 0.2500 0.4867 1
Rh3 0.2500 0.2500 0.9864 1
Rh4 0.2500 0.5825 0.0096 1
```

- Energy of formation from the pure elements: -0.94 eV per atom
- Uncorrected energy: -6.774 eV/atom